Record 1
This record from Alexandria via LeMat-Bulk describes a relaxed structure of K2NbCdS4. The functional is PBE.

Unit cell a=6.8174 b=6.8174 c=6.8174 alpha=114.27 beta=114.27 gamma=100.26
With the nearest neighbours (Å) after each atom.
Element x y z (fractional)
K 0.0000 0.0000 0.0000  4 S 3.10
K 0.7500 0.2500 0.5000  8 S 3.52-3.70
Nb 0.2500 0.7500 0.5000  4 S 2.33
Cd 0.5000 0.5000 0.0000  4 S 2.62
S 0.2310 0.1038 0.5506  1 Nb 2.33
S 0.3196 0.7690 0.8728  1 Nb 2.33
S 0.5532 0.6804 0.4494  1 Nb 2.33
S 0.8962 0.4468 0.1272  1 Nb 2.33

Results
Formation energy from raw total energies ... -935 meV per atom

=====

Record 2
This record from Alexandria via LeMat-Bulk describes a relaxed structure of K2NbCdSe4. The functional is PBE.

Unit cell a=14.1759 b=12.6878 c=7.6921 alpha=84.36 beta=62.96 gamma=32.68
With the nearest neighbours (Å) after each atom.
Element x y z (fractional)
K 0.0578 0.0578 0.6922  8 Se 3.59-3.83
K 0.3078 0.3078 0.9422  8 Se 3.59-3.83
K 0.6922 0.6922 0.0578  8 Se 3.59-3.83
K 0.9422 0.9422 0.3078  8 Se 3.59-3.83
Nb 0.3750 0.3750 0.3750  4 Se 2.50
Nb 0.6250 0.6250 0.6250  4 Se 2.50
Cd 0.1250 0.1250 0.1250  4 Se 2.67
Cd 0.8750 0.8750 0.8750  4 Se 2.67
Se 0.0153 0.3513 0.4462  1 Nb 2.50, 1 Cd 2.67
Se 0.3127 0.5538 0.6487  1 Nb 2.50, 1 Cd 2.67
Se 0.3513 0.0153 0.6873  1 Nb 2.50, 1 Cd 2.67
Se 0.4462 0.6873 0.0153  1 Nb 2.50, 1 Cd 2.67
Se 0.5538 0.3127 0.9847  1 Nb 2.50, 1 Cd 2.67
Se 0.6487 0.9847 0.3127  1 Nb 2.50, 1 Cd 2.67
Se 0.6873 0.4462 0.3513  1 Nb 2.50, 1 Cd 2.67
Se 0.9847 0.6487 0.5538  1 Nb 2.50, 1 Cd 2.67

Results
Formation energy from raw total energies ... -828 meV per atom

=====

Record 3
This record from Alexandria via LeMat-Bulk describes a relaxed structure of KNdCd2. The functional is PBE.

Unit cell a=3.9058 b=3.9058 c=8.6123 alpha=90.00 beta=90.00 gamma=90.00
With the nearest neighbours (Å) after each atom.
Element x y z (fractional)
K 0.0000 0.0000 0.0000  8 Cd 3.73, 4 K 3.91
Nd 0.0000 0.0000 0.5000  8 Cd 3.30
Cd 0.5000 0.5000 0.2903  4 Nd 3.30, 1 Cd 3.61
Cd 0.5000 0.5000 0.7097  4 Nd 3.30, 1 Cd 3.61

=====

Record 4
This record from Alexandria via LeMat-Bulk describes a relaxed structure of KNdCd10. The functional is PBE.

Unit cell a=4.8757 b=6.0414 c=10.4245 alpha=90.00 beta=90.00 gamma=90.00
With the nearest neighbours (Å) after each atom.
Element x y z (fractional)
K 0.0000 0.0000 0.0000  10 Cd 3.49-3.88
Nd 0.0000 0.5000 0.5000  14 Cd 3.45-3.74
Cd 0.0000 0.0000 0.3346  6 Cd 2.99
Cd 0.0000 0.0000 0.6654  6 Cd 2.99
Cd 0.0000 0.5000 0.1692  6 Cd 3.01
Cd 0.0000 0.5000 0.8308  6 Cd 3.01
Cd 0.5000 0.0000 0.5000  8 Cd 2.90-2.99
Cd 0.5000 0.2602 0.2664  8 Cd 2.90-3.14
Cd 0.5000 0.2602 0.7336  8 Cd 2.90-3.14
Cd 0.5000 0.5000 0.0000  8 Cd 3.01-3.13
Cd 0.5000 0.7398 0.2664  8 Cd 2.90-3.14
Cd 0.5000 0.7398 0.7336  8 Cd 2.90-3.14

=====

Record 5
This record from Alexandria via LeMat-Bulk describes a relaxed structure of KNdCd17. The functional is PBE.

Unit cell a=7.7668 b=7.7668 c=7.7668 alpha=82.42 beta=82.42 gamma=82.42
With the nearest neighbours (Å) after each atom.
Element x y z (fractional)
K 0.0000 0.0000 0.0000  19 Cd 3.62-4.01
Nd 0.6684 0.6684 0.6684  13 Cd 3.41-3.60
Cd 0.0381 0.3389 0.6343  8 Cd 2.95-3.24
Cd 0.0381 0.6343 0.3389  8 Cd 2.95-3.24
Cd 0.2013 0.6868 0.6868  9 Cd 2.92-3.23
Cd 0.2434 0.2434 0.2434  10 Cd 3.01-3.36
Cd 0.3254 0.3254 0.8508  10 Cd 2.95-3.23
Cd 0.3254 0.8508 0.3254  10 Cd 2.95-3.23
Cd 0.3389 0.0382 0.6343  8 Cd 2.95-3.24
Cd 0.3389 0.6343 0.0382  8 Cd 2.95-3.24
Cd 0.4427 0.4427 0.4427  7 Cd 3.01-3.23
Cd 0.5228 0.9684 0.9684  8 Cd 2.92-3.24
Cd 0.6343 0.0382 0.3389  8 Cd 2.95-3.24
Cd 0.6343 0.3389 0.0382  8 Cd 2.95-3.24
Cd 0.6868 0.2013 0.6868  9 Cd 2.92-3.23
Cd 0.6868 0.6868 0.2013  9 Cd 2.92-3.23
Cd 0.8508 0.3254 0.3254  10 Cd 2.95-3.23
Cd 0.9684 0.5228 0.9684  8 Cd 2.92-3.24
Cd 0.9684 0.9684 0.5228  8 Cd 2.92-3.24

=====

Record 6
This record from Alexandria via LeMat-Bulk describes a relaxed structure of K2NdCd2O4. The functional is PBE.

Unit cell a=6.6556 b=6.6556 c=8.9301 alpha=123.97 beta=123.97 gamma=31.91
With the nearest neighbours (Å) after each atom.
Element x y z (fractional)
K 0.1815 0.1815 0.2858  5 O 2.77-2.86
K 0.8185 0.8185 0.7142  5 O 2.77-2.86
Nd 0.0000 0.0000 0.5000  6 O 2.42-2.44
Cd 0.3786 0.3786 0.1097  4 O 2.30-2.38
Cd 0.6214 0.6214 0.8903  4 O 2.30-2.38
O 0.1988 0.1988 0.8103  3 Cd 2.30-2.38, 1 Nd 2.44
O 0.4315 0.4315 0.6011  1 Cd 2.30, 2 Nd 2.42
O 0.5685 0.5685 0.3989  1 Cd 2.30, 2 Nd 2.42
O 0.8012 0.8012 0.1897  3 Cd 2.30-2.38, 1 Nd 2.44

Results
Formation energy from raw total energies ... -1636 meV per atom

=====

Record 7
This record from Alexandria via LeMat-Bulk describes a relaxed structure of KNdCdO3. The functional is PBE.

Unit cell a=6.3986 b=3.5731 c=8.4909 alpha=90.00 beta=91.45 gamma=90.00
With the nearest neighbours (Å) after each atom.
Element x y z (fractional)
K 0.0731 0.2500 0.1650  6 O 2.64-2.85
K 0.9269 0.7500 0.8350  6 O 2.64-2.85
Nd 0.4262 0.2500 0.8161  6 O 2.38-2.44
Nd 0.5738 0.7500 0.1839  6 O 2.38-2.44
Cd 0.2342 0.7500 0.4938  6 O 2.35-2.59
Cd 0.7658 0.2500 0.5062  6 O 2.35-2.59
O 0.1137 0.2500 0.6458  3 Cd 2.35-2.50, 1 Nd 2.44
O 0.3084 0.7500 0.9764  3 Nd 2.38-2.42
O 0.4216 0.2500 0.3390  2 Nd 2.44, 3 Cd 2.54-2.59, 1 K 2.64
O 0.5784 0.7500 0.6610  2 Nd 2.44, 3 Cd 2.54-2.59, 1 K 2.64
O 0.6916 0.2500 0.0236  3 Nd 2.38-2.42
O 0.8863 0.7500 0.3542  3 Cd 2.35-2.50, 1 Nd 2.44

Results
Formation energy from raw total energies ... -2034 meV per atom

=====

Record 8
This record from Alexandria via LeMat-Bulk describes a relaxed structure of KNdCdS3. The functional is PBE.

Unit cell a=8.7721 b=4.2286 c=10.0297 alpha=90.00 beta=105.50 gamma=90.00
With the nearest neighbours (Å) after each atom.
Element x y z (fractional)
K 0.1990 0.2500 0.2117  5 S 3.27-3.37
K 0.8010 0.7500 0.7883  5 S 3.27-3.37
Nd 0.3322 0.7500 0.8591  6 S 2.79-3.09
Nd 0.6678 0.2500 0.1409  6 S 2.79-3.09
Cd 0.0861 0.2500 0.6092  4 S 2.51-2.67
Cd 0.9139 0.7500 0.3908  4 S 2.51-2.67
S 0.1093 0.2500 0.8638  1 Cd 2.51
S 0.2161 0.7500 0.5400  3 Cd 2.58-2.67
S 0.4532 0.7500 0.1458  3 Nd 2.79-2.84
S 0.5468 0.2500 0.8542  3 Nd 2.79-2.84
S 0.7839 0.2500 0.4600  3 Cd 2.58-2.67
S 0.8907 0.7500 0.1362  1 Cd 2.51

Results
Formation energy from raw total energies ... -1375 meV per atom

=====

Record 9
This record from Alexandria via LeMat-Bulk describes a relaxed structure of KNdCdSe3. The functional is PBE.

Unit cell a=9.0773 b=4.3586 c=10.3104 alpha=90.00 beta=105.95 gamma=90.00
With the nearest neighbours (Å) after each atom.
Element x y z (fractional)
K 0.2071 0.2500 0.2255  5 Se 3.36-3.56
K 0.7929 0.7500 0.7745  5 Se 3.36-3.56
Nd 0.3277 0.7500 0.8611  6 Se 2.92-3.20
Nd 0.6723 0.2500 0.1389  6 Se 2.92-3.20
Cd 0.0853 0.2500 0.6081  4 Se 2.63-2.79
Cd 0.9147 0.7500 0.3919  4 Se 2.63-2.79
Se 0.1011 0.2500 0.8665  1 Cd 2.63
Se 0.2235 0.7500 0.5380  3 Cd 2.71-2.79
Se 0.4558 0.7500 0.1534  3 Nd 2.92-2.97
Se 0.5442 0.2500 0.8466  3 Nd 2.92-2.97
Se 0.7765 0.2500 0.4620  3 Cd 2.71-2.79
Se 0.8989 0.7500 0.1335  1 Cd 2.63

Results
Formation energy from raw total energies ... -1329 meV per atom

=====

Record 10
This record from Alexandria via LeMat-Bulk describes a relaxed structure of KCdNi2. The functional is PBE.

Unit cell a=4.8069 b=4.8069 c=6.7063 alpha=97.86 beta=97.86 gamma=35.46
With the nearest neighbours (Å) after each atom.
Element x y z (fractional)
K 0.0000 0.0000 0.0000  2 K 2.93
Cd 0.5000 0.5000 0.5000  6 Ni 2.64-2.71, 2 Cd 2.93
Ni 0.2342 0.2342 0.6338  2 Ni 2.37, 2 Cd 2.64
Ni 0.7658 0.7658 0.3662  2 Ni 2.37, 2 Cd 2.64

=====

Record 11
This record from Alexandria via LeMat-Bulk describes a relaxed structure of K2CdNi. The functional is PBE.

Unit cell a=3.7815 b=3.7815 c=9.2854 alpha=90.00 beta=90.00 gamma=90.00
With the nearest neighbours (Å) after each atom.
Element x y z (fractional)
K 0.0000 0.0000 0.2099  4 Ni 3.31
K 0.0000 0.0000 0.7901  4 Ni 3.31
Cd 0.5000 0.5000 0.5000  4 Cd 3.78, 8 K 3.80
Ni 0.5000 0.5000 0.0000  8 K 3.31

=====

Record 12
This record from Alexandria via LeMat-Bulk describes a relaxed structure of KCdNi2. The functional is PBE.

Unit cell a=2.8460 b=4.0968 c=7.0944 alpha=90.00 beta=90.00 gamma=90.00
With the nearest neighbours (Å) after each atom.
Element x y z (fractional)
K 0.0000 0.0000 0.0000  2 K 2.85
Cd 0.0000 0.0000 0.5000  8 Ni 2.75, 2 Cd 2.85
Ni 0.5000 0.5000 0.3373  1 Ni 2.31
Ni 0.5000 0.5000 0.6627  1 Ni 2.31

=====

no.,calculated total energy (eV/atom)
1,-4.65
2,-4.22
3,-2.05
4,-1.37
5,-1.23
6,-4.82
7,-5.64
8,-4.57
9,-4.20
10,-2.97
11,-1.72
12,-2.94